# 1
{"formula": "TaBeTcF2", "functional": "PBEsol", "state": "optimized geometry", "n_ef_per_ev_cell": 2.10, "space_group": "P4/mmm (123)", "formation_energy_uncorrected_ev_per_atom": -0.502, "cell": [[3.872, 0.000, 0.000], [0.000, 3.872, 0.000], [0.000, 0.000, 5.077]], "species": ["Ta", "Be", "Tc", "F", "F"], "frac_coords": [[0.000, 0.000, 0.000], [0.500, 0.500, 0.500], [0.000, 0.000, 0.500], [0.000, 0.500, 0.000], [0.500, 0.000, 0.000]]}



# 2
{"formula": "BeTeF2", "functional": "PBEsol", "state": "optimized geometry", "n_ef_per_ev_cell": 2.10, "space_group": "R-3m (166)", "formation_energy_uncorrected_ev_per_atom": -1.904, "cell": [[2.887, 0.000, 0.000], [-1.443, 2.500, 0.000], [0.000, 0.000, 27.669]], "species": ["Be", "Be", "Be", "Te", "Te", "Te", "F", "F", "F", "F", "F", "F"], "frac_coords": [[0.000, 0.000, 0.000], [0.333, 0.667, 0.667], [0.667, 0.333, 0.333], [0.000, 0.000, 0.500], [0.333, 0.667, 0.167], [0.667, 0.333, 0.833], [0.000, 0.000, 0.363], [0.000, 0.000, 0.637], [0.333, 0.667, 0.030], [0.333, 0.667, 0.303], [0.667, 0.333, 0.697], [0.667, 0.333, 0.970]]}



# 3
{"formula": "Ti2BeF", "functional": "PBEsol", "state": "optimized geometry", "n_ef_per_ev_cell": 14.29, "space_group": "Fm-3m (225)", "formation_energy_uncorrected_ev_per_atom": -0.344, "cell": [[5.826, 0.000, 0.000], [0.000, 5.826, 0.000], [0.000, 0.000, 5.826]], "species": ["Ti", "Ti", "Ti", "Ti", "Ti", "Ti", "Ti", "Ti", "Be", "Be", "Be", "Be", "F", "F", "F", "F"], "frac_coords": [[0.250, 0.250, 0.250], [0.250, 0.250, 0.750], [0.250, 0.750, 0.250], [0.250, 0.750, 0.750], [0.750, 0.250, 0.250], [0.750, 0.250, 0.750], [0.750, 0.750, 0.250], [0.750, 0.750, 0.750], [0.000, 0.000, 0.000], [0.000, 0.500, 0.500], [0.500, 0.000, 0.500], [0.500, 0.500, 0.000], [0.000, 0.000, 0.500], [0.000, 0.500, 0.000], [0.500, 0.000, 0.000], [0.500, 0.500, 0.500]]}



# 4
{"formula": "TiBeF3", "functional": "PBEsol", "state": "optimized geometry", "n_ef_per_ev_cell": 3.95, "space_group": "Pm-3m (221)", "formation_energy_uncorrected_ev_per_atom": -1.851, "cell": [[3.650, 0.000, 0.000], [0.000, 3.650, 0.000], [0.000, 0.000, 3.650]], "species": ["Ti", "Be", "F", "F", "F"], "frac_coords": [[0.000, 0.000, 0.000], [0.500, 0.500, 0.500], [0.000, 0.500, 0.500], [0.500, 0.000, 0.500], [0.500, 0.500, 0.000]]}



# 5
{"formula": "BeTl2F4", "functional": "PBEsol", "state": "optimized geometry", "n_ef_per_ev_cell": 0.00, "space_group": "Pnma (62)", "formation_energy_uncorrected_ev_per_atom": -2.407, "cell": [[7.595, 0.000, 0.000], [0.000, 5.745, 0.000], [0.000, 0.000, 10.325]], "species": ["Be", "Be", "Be", "Be", "Tl", "Tl", "Tl", "Tl", "Tl", "Tl", "Tl", "Tl", "F", "F", "F", "F", "F", "F", "F", "F", "F", "F", "F", "F", "F", "F", "F", "F"], "frac_coords": [[0.233, 0.250, 0.079], [0.267, 0.750, 0.579], [0.733, 0.250, 0.421], [0.767, 0.750, 0.921], [0.013, 0.750, 0.193], [0.165, 0.250, 0.412], [0.335, 0.750, 0.912], [0.487, 0.250, 0.693], [0.513, 0.750, 0.307], [0.665, 0.250, 0.088], [0.835, 0.750, 0.588], [0.987, 0.250, 0.807], [0.028, 0.250, 0.086], [0.191, 0.527, 0.644], [0.191, 0.973, 0.644], [0.201, 0.750, 0.434], [0.299, 0.250, 0.934], [0.309, 0.027, 0.144], [0.309, 0.473, 0.144], [0.472, 0.750, 0.586], [0.528, 0.250, 0.414], [0.691, 0.527, 0.856], [0.691, 0.973, 0.856], [0.701, 0.750, 0.066], [0.799, 0.250, 0.566], [0.809, 0.027, 0.356], [0.809, 0.473, 0.356], [0.972, 0.750, 0.914]]}



# 6
{"formula": "Be2TlF5", "functional": "PBEsol", "state": "optimized geometry", "n_ef_per_ev_cell": 0.00, "space_group": "C2/c (15)", "formation_energy_uncorrected_ev_per_atom": -2.893, "cell": [[4.015, -2.316, 0.000], [4.015, 2.316, 0.000], [-0.278, 0.000, 12.226]], "species": ["Be", "Be", "Be", "Be", "Tl", "Tl", "F", "F", "F", "F", "F", "F", "F", "F", "F", "F"], "frac_coords": [[0.149, 0.186, 0.203], [0.186, 0.149, 0.703], [0.814, 0.851, 0.297], [0.851, 0.814, 0.797], [0.500, 0.500, 0.000], [0.500, 0.500, 0.500], [0.097, 0.903, 0.250], [0.155, 0.470, 0.760], [0.163, 0.177, 0.580], [0.177, 0.163, 0.080], [0.470, 0.155, 0.260], [0.530, 0.845, 0.740], [0.823, 0.837, 0.920], [0.837, 0.823, 0.420], [0.845, 0.530, 0.240], [0.903, 0.097, 0.750]]}



# 7
{"formula": "YBeF3", "functional": "PBEsol", "state": "optimized geometry", "space_group": "Pm-3m (221)", "formation_energy_uncorrected_ev_per_atom": -2.491, "cell": [[4.382, 0.000, 0.000], [0.000, 4.382, 0.000], [0.000, 0.000, 4.382]], "species": ["Y", "Be", "F", "F", "F"], "frac_coords": [[0.000, 0.000, 0.000], [0.500, 0.500, 0.500], [0.000, 0.000, 0.500], [0.000, 0.500, 0.000], [0.500, 0.000, 0.000]]}



# 8
{"formula": "ZrBeF2", "functional": "PBEsol", "state": "optimized geometry", "n_ef_per_ev_cell": 5.83, "e_above_lowest_polymorph_mev_per_atom": 0, "space_group": "R-3m (166)", "formation_energy_uncorrected_ev_per_atom": -1.698, "cell": [[2.741, 0.000, 0.000], [-1.371, 2.374, 0.000], [0.000, 0.000, 25.524]], "species": ["Zr", "Zr", "Zr", "Be", "Be", "Be", "F", "F", "F", "F", "F", "F"], "frac_coords": [[0.000, 0.000, 0.000], [0.333, 0.667, 0.667], [0.667, 0.333, 0.333], [0.000, 0.000, 0.500], [0.333, 0.667, 0.167], [0.667, 0.333, 0.833], [0.000, 0.000, 0.133], [0.000, 0.000, 0.867], [0.333, 0.667, 0.534], [0.333, 0.667, 0.800], [0.667, 0.333, 0.200], [0.667, 0.333, 0.466]]}



# 9
{"formula": "ZrBeF2", "functional": "PBEsol", "state": "optimized geometry", "n_ef_per_ev_cell": 13.26, "e_above_lowest_polymorph_mev_per_atom": 677, "space_group": "Fm-3m (225)", "formation_energy_uncorrected_ev_per_atom": -1.021, "cell": [[5.731, 0.000, 0.000], [0.000, 5.731, 0.000], [0.000, 0.000, 5.731]], "species": ["Zr", "Zr", "Zr", "Zr", "Be", "Be", "Be", "Be", "F", "F", "F", "F", "F", "F", "F", "F"], "frac_coords": [[0.000, 0.000, 0.000], [0.000, 0.500, 0.500], [0.500, 0.000, 0.500], [0.500, 0.500, 0.000], [0.000, 0.000, 0.500], [0.000, 0.500, 0.000], [0.500, 0.000, 0.000], [0.500, 0.500, 0.500], [0.250, 0.250, 0.250], [0.250, 0.250, 0.750], [0.250, 0.750, 0.250], [0.250, 0.750, 0.750], [0.750, 0.250, 0.250], [0.750, 0.250, 0.750], [0.750, 0.750, 0.250], [0.750, 0.750, 0.750]]}



# 10
{"formula": "BeFe2", "functional": "PBEsol", "state": "optimized geometry", "n_ef_per_ev_cell": 1.72, "ef_ev_per_atom": -0.06, "space_group": "P-3m1 (164)", "cell": [[3.792, 0.000, 0.000], [-1.896, 3.284, 0.000], [0.000, 0.000, 2.361]], "species": ["Be", "Fe", "Fe"], "frac_coords": [[0.000, 0.000, 0.000], [0.333, 0.667, 0.334], [0.667, 0.333, 0.666]]}



# 11
{"formula": "Be4Fe5", "functional": "PBEsol", "state": "optimized geometry", "n_ef_per_ev_cell": 11.08, "ef_ev_per_atom": -0.11, "space_group": "P6_3/mcm (193)", "cell": [[6.482, 0.000, 0.000], [-3.241, 5.613, 0.000], [0.000, 0.000, 4.490]], "species": ["Be", "Be", "Be", "Be", "Be", "Be", "Be", "Be", "Fe", "Fe", "Fe", "Fe", "Fe", "Fe", "Fe", "Fe", "Fe", "Fe"], "frac_coords": [[0.000, 0.000, 0.000], [0.000, 0.000, 0.500], [0.000, 0.379, 0.250], [0.000, 0.621, 0.750], [0.379, 0.000, 0.250], [0.379, 0.379, 0.750], [0.621, 0.000, 0.750], [0.621, 0.621, 0.250], [0.000, 0.285, 0.750], [0.000, 0.715, 0.250], [0.285, 0.000, 0.750], [0.285, 0.285, 0.250], [0.333, 0.667, 0.000], [0.333, 0.667, 0.500], [0.667, 0.333, 0.000], [0.667, 0.333, 0.500], [0.715, 0.000, 0.250], [0.715, 0.715, 0.750]]}



# 12
{"formula": "Be2Fe", "functional": "PBEsol", "state": "optimized geometry", "n_ef_per_ev_cell": 2.11, "ef_ev_per_atom": -0.26, "e_above_lowest_polymorph_mev_per_atom": 3, "space_group": "Fd-3m (227)", "cell": [[0.000, 2.913, 2.913], [2.913, 0.000, 2.913], [2.913, 2.913, 0.000]], "species": ["Be", "Be", "Be", "Be", "Fe", "Fe"], "frac_coords": [[0.000, 0.000, 0.000], [0.000, 0.000, 0.500], [0.000, 0.500, 0.000], [0.500, 0.000, 0.000], [0.375, 0.375, 0.375], [0.625, 0.625, 0.625]]}



| no. | total energy (Ry/atom) |
| --- | --- |
| 1 | -0.502 |
| 2 | -0.349 |
| 3 | -0.440 |
| 4 | -0.402 |
| 5 | -0.355 |
| 6 | -0.399 |
| 7 | -0.427 |
| 8 | -0.436 |
| 9 | -0.386 |
| 10 | -0.542 |
| 11 | -0.505 |
| 12 | -0.435 |